No. 1
# ZnSnSb, relaxed, DFT PBE-GGA
# Density of states at the Fermi level: 2.57 states/eV/cell
# E_form (uncorrected): 47.6 kJ/mol of formula units
data_ZnSnSb
_chemical_formula_sum 'Zn2 Sn2 Sb2'
_cell_length_a 3.2930
_cell_length_b 3.2930
_cell_length_c 13.3174
_cell_angle_alpha 90.00
_cell_angle_beta 90.00
_cell_angle_gamma 90.00
_symmetry_space_group_name_H-M 'I 4 m m'
_symmetry_Int_Tables_number 107
_symmetry_space_group_name_Hall 'I 4 -2'
loop_
_atom_site_label
_atom_site_type_symbol
_atom_site_fract_x
_atom_site_fract_y
_atom_site_fract_z
_atom_site_occupancy
Zn1 Zn 0.0000 0.0000 0.0000 1
Sn1 Sn 0.0000 0.0000 0.6478 1
Sb1 Sb 0.0000 0.0000 0.3486 1

No. 2
# Rb2BeGaSe, relaxed, DFT PBE-GGA
# Density of states at the Fermi level: 3.07 states/eV/cell
# E_form (uncorrected): 42.5 kJ/mol of formula units
data_Rb2BeGaSe
_chemical_formula_sum 'Rb2 Be1 Ga1 Se1'
_cell_length_a 6.8208
_cell_length_b 6.8208
_cell_length_c 4.1265
_cell_angle_alpha 90.00
_cell_angle_beta 90.00
_cell_angle_gamma 90.00
_symmetry_space_group_name_H-M 'P 4/m m m'
_symmetry_Int_Tables_number 123
_symmetry_space_group_name_Hall '-P 4 2'
loop_
_atom_site_label
_atom_site_type_symbol
_atom_site_fract_x
_atom_site_fract_y
_atom_site_fract_z
_atom_site_occupancy
Rb1 Rb 0.0000 0.5000 0.0000 1
Be1 Be 0.0000 0.0000 0.5000 1
Ga1 Ga 0.5000 0.5000 0.5000 1
Se1 Se 0.0000 0.0000 0.0000 1

No. 3
# CaPmHg4, relaxed, DFT PBE-GGA
# Density of states at the Fermi level: 18.09 states/eV/cell
# E_form: -0.27 eV/atom
# E above lowest polymorph: 0.1476 eV/atom
data_CaPmHg4
_chemical_formula_sum 'Ca4 Pm4 Hg16'
_cell_length_a 8.5205
_cell_length_b 8.5205
_cell_length_c 8.5205
_cell_angle_alpha 90.00
_cell_angle_beta 90.00
_cell_angle_gamma 90.00
_symmetry_space_group_name_H-M 'F -4 3 m'
_symmetry_Int_Tables_number 216
_symmetry_space_group_name_Hall 'F -4 2 3'
loop_
_atom_site_label
_atom_site_type_symbol
_atom_site_fract_x
_atom_site_fract_y
_atom_site_fract_z
_atom_site_occupancy
Ca1 Ca 0.0000 0.0000 0.0000 1
Pm1 Pm 0.2500 0.2500 0.2500 1
Hg1 Hg 0.1247 0.1247 0.6247 1

No. 4
# Pm2ErFe, relaxed, DFT PBE-GGA
# Density of states at the Fermi level: 19.28 states/eV/cell
# E_form: 0.61 eV/atom
data_Pm2ErFe
_chemical_formula_sum 'Pm6 Er3 Fe3'
_cell_length_a 3.4484
_cell_length_b 3.4484
_cell_length_c 32.7085
_cell_angle_alpha 90.00
_cell_angle_beta 90.00
_cell_angle_gamma 120.00
_symmetry_space_group_name_H-M 'R -3 m'
_symmetry_Int_Tables_number 166
_symmetry_space_group_name_Hall '-R 3 2"'
loop_
_atom_site_label
_atom_site_type_symbol
_atom_site_fract_x
_atom_site_fract_y
_atom_site_fract_z
_atom_site_occupancy
Pm1 Pm 0.0000 0.0000 0.0764 1
Er1 Er 0.0000 0.0000 0.5000 1
Fe1 Fe 0.0000 0.0000 0.0000 1

No. 5
# LuScOsPt, relaxed, DFT PBE-GGA
# Density of states at the Fermi level: 5.71 states/eV/cell
# E_form: -0.80 eV/atom
data_LuScOsPt
_chemical_formula_sum 'Lu4 Sc4 Os4 Pt4'
_cell_length_a 6.6202
_cell_length_b 6.6202
_cell_length_c 6.6202
_cell_angle_alpha 90.00
_cell_angle_beta 90.00
_cell_angle_gamma 90.00
_symmetry_space_group_name_H-M 'F -4 3 m'
_symmetry_Int_Tables_number 216
_symmetry_space_group_name_Hall 'F -4 2 3'
loop_
_atom_site_label
_atom_site_type_symbol
_atom_site_fract_x
_atom_site_fract_y
_atom_site_fract_z
_atom_site_occupancy
Lu1 Lu 0.0000 0.0000 0.0000 1
Sc1 Sc 0.0000 0.0000 0.5000 1
Os1 Os 0.2500 0.2500 0.7500 1
Pt1 Pt 0.2500 0.2500 0.2500 1

No. 6
# Rb2DySi2S6, relaxed, DFT PBE-GGA
# Density of states at the Fermi level: 6.94 states/eV/cell
# E_form (uncorrected): -1132.8 kJ/mol of formula units
data_Rb2DySi2S6
_chemical_formula_sum 'Rb4 Dy2 Si4 S12'
_cell_length_a 12.2804
_cell_length_b 7.1469
_cell_length_c 7.9807
_cell_angle_alpha 90.00
_cell_angle_beta 121.91
_cell_angle_gamma 90.00
_symmetry_space_group_name_H-M 'C 1 2/m 1'
_symmetry_Int_Tables_number 12
loop_
_symmetry_equiv_pos_as_xyz
'x,y,z'
'-x,-y,-z'
'-x,y,-z'
'x,-y,z'
'x+1/2,y+1/2,z'
'-x+1/2,-y+1/2,-z'
'-x+1/2,y+1/2,-z'
'x+1/2,-y+1/2,z'
loop_
_atom_site_label
_atom_site_type_symbol
_atom_site_fract_x
_atom_site_fract_y
_atom_site_fract_z
_atom_site_occupancy
Rb1 Rb 0.2170 0.0000 0.2094 1
Dy1 Dy 0.0000 0.0000 0.5000 1
Si1 Si 0.0427 0.5000 0.1893 1
S1 S 0.0412 0.2540 0.7863 1
S2 S 0.2430 0.5000 0.3328 1

No. 7
# NbInI2N, relaxed, DFT PBE-GGA
# Density of states at the Fermi level: 8.57 states/eV/cell
# E above lowest polymorph: 1.2563 eV/atom
# E_form (uncorrected): 568.6 kJ/mol of formula units
data_NbInI2N
_chemical_formula_sum 'Nb1 In1 I2 N1'
_cell_length_a 5.9145
_cell_length_b 5.9145
_cell_length_c 4.1055
_cell_angle_alpha 90.00
_cell_angle_beta 90.00
_cell_angle_gamma 90.00
_symmetry_space_group_name_H-M 'P 4/m m m'
_symmetry_Int_Tables_number 123
_symmetry_space_group_name_Hall '-P 4 2'
loop_
_atom_site_label
_atom_site_type_symbol
_atom_site_fract_x
_atom_site_fract_y
_atom_site_fract_z
_atom_site_occupancy
Nb1 Nb 0.0000 0.0000 0.0000 1
In1 In 0.5000 0.5000 0.5000 1
I1 I 0.0000 0.5000 0.5000 1
N1 N 0.5000 0.5000 0.0000 1

No. 8
# Pr4CBr2O, relaxed, DFT PBE-GGA
# Density of states at the Fermi level: 3.47 states/eV/cell
# E_form (uncorrected): -1089.9 kJ/mol of formula units
data_Pr4CBr2O
_chemical_formula_sum 'Pr4 C1 Br2 O1'
_cell_length_a 6.5465
_cell_length_b 3.8267
_cell_length_c 7.7445
_cell_angle_alpha 90.00
_cell_angle_beta 106.53
_cell_angle_gamma 90.00
_symmetry_space_group_name_H-M 'P 1 2/m 1'
_symmetry_Int_Tables_number 10
loop_
_symmetry_equiv_pos_as_xyz
'x,y,z'
'-x,-y,-z'
'-x,y,-z'
'x,-y,z'
loop_
_atom_site_label
_atom_site_type_symbol
_atom_site_fract_x
_atom_site_fract_y
_atom_site_fract_z
_atom_site_occupancy
Pr1 Pr 0.2278 0.0000 0.1797 1
Pr2 Pr 0.2713 0.5000 0.8176 1
C1 C 0.5000 0.0000 0.0000 1
Br1 Br 0.0000 0.0000 0.5000 1
Br2 Br 0.5000 0.5000 0.5000 1
O1 O 0.0000 0.5000 0.0000 1